Compound: Na2Tl3Ga
Source: the Alexandria database
Functional: PBE
Structure: relaxed

Calculated values
Calculated formation energy   -0.07 eV/atom
Size of the total moment   0.000 μB/atom
Space-group type   No. 65

a = 5.406 Å, b = 8.474 Å, c = 7.496 Å
α = 90.00°, β = 89.99°, γ = 71.40°
Positions (direct):
Tl (0.823, 0.353, 0.775)
Tl (0.500, 0.000, 0.767)
Tl (0.177, 0.647, 0.775)
Tl (0.823, 0.353, 0.225)
Tl (0.177, 0.647, 0.225)
Tl (0.500, 0.000, 0.233)
Ga (0.657, 0.687, 0.000)
Ga (0.343, 0.313, 0.000)
Na (0.000, 0.000, 0.500)
Na (0.337, 0.326, 0.500)
Na (0.000, 0.000, 0.000)
Na (0.663, 0.674, 0.500)